1.
# Ti3CuRh2

Crystalline Ti3CuRh2 at its relaxed geometry (PBE-GGA, Alexandria).

Calculated density ... 7.69 g/cm³
Symmetry ... No. 59

abc: 3.353 4.186 12.709
angles: 90.00 90.00 90.00
Element x y z (fractional)
Cu (0.001, 0.000, 0.000)
Ti (0.499, 0.500, 0.665)
Ti (0.501, 0.000, 0.165)
Rh (0.000, 0.000, 0.664)
Rh (0.000, 0.500, 0.164)
Ti (0.499, 0.500, 0.335)
Ti (0.501, 0.000, 0.835)
Rh (0.000, 0.000, 0.336)
Ti (0.500, 0.500, 0.000)
Cu (0.999, 0.500, 0.500)
Ti (0.500, 0.000, 0.500)
Rh (0.000, 0.500, 0.836)

***

2.
# Ti3CuRh2

Crystalline Ti3CuRh2 at its relaxed geometry (PBE-GGA, Alexandria).

Calculated density ... 7.67 g/cm³
Symmetry ... No. 123

abc: 3.130 3.130 9.133
angles: 90.00 90.00 90.00
Element x y z (fractional)
Rh (0.500, 0.500, 0.831)
Ti (0.000, 0.000, 0.335)
Cu (0.500, 0.500, 0.500)
Rh (0.500, 0.500, 0.169)
Ti (0.000, 0.000, 0.665)
Ti (0.000, 0.000, 0.000)

***

Going by the energies, 1 is most stable and the next is 0.5 kJ/mol of atoms up.

***

1.
# Ti4CuRh

Crystalline Ti4CuRh at its relaxed geometry (PBE-GGA, Alexandria).

Calculated density ... 5.53 g/cm³
Symmetry ... No. 123

abc: 4.230 4.231 6.008
angles: 89.99 90.00 90.00
Element x y z (fractional)
Ti (0.001, 0.497, 0.748)
Ti (0.501, 0.997, 0.748)
Ti (0.001, 0.497, 0.248)
Cu (0.002, 0.997, 0.498)
Ti (0.501, 0.997, 0.248)
Rh (0.501, 0.498, 0.998)

***

2.
# Ti4CuRh

Crystalline Ti4CuRh at its relaxed geometry (PBE-GGA, Alexandria).

Calculated density ... 6.37 g/cm³
Symmetry ... No. 123

abc: 3.024 3.024 10.203
angles: 90.00 90.00 90.00
Element x y z (fractional)
Ti (0.000, 0.000, 0.660)
Ti (0.000, 0.000, 0.340)
Ti (0.500, 0.500, 0.164)
Ti (0.500, 0.500, 0.836)
Rh (0.500, 0.500, 0.500)
Cu (0.000, 0.000, 0.000)

***

Going by the energies, 2 is most stable and the next is 39.1 kJ/mol of atoms up.

***

1.
# TlCu2Rh

Crystalline TlCu2Rh at its relaxed geometry (PBE-GGA, Alexandria).

Calculated density ... 11.79 g/cm³
Symmetry ... No. 139

abc: 4.825 4.825 4.825
angles: 131.77 131.77 70.59
Element x y z (fractional)
Rh (0.250, 0.750, 0.500)
Tl (0.750, 0.250, 0.500)
Cu (0.500, 0.500, 0.000)
Cu (0.000, 0.000, 0.000)

***

2.
# TlCu2Rh

Crystalline TlCu2Rh at its relaxed geometry (PBE-GGA, Alexandria).

Calculated density ... 10.60 g/cm³
Symmetry ... No. 122

abc: 3.819 3.819 9.719
angles: 78.67 78.67 90.00
Element x y z (fractional)
Cu (0.375, 0.409, 0.750)
Cu (0.875, 0.841, 0.750)
Rh (0.500, 0.500, 0.000)
Cu (0.591, 0.125, 0.250)
Tl (0.750, 0.250, 0.500)
Tl (0.000, 0.000, 0.000)
Rh (0.250, 0.750, 0.500)
Cu (0.159, 0.625, 0.250)

***

Going by the energies, 1 is most stable and the next is 18.1 kJ/mol of atoms up.